# 1
{
  "formula": "NbAsS2",
  "functional": "PBE-GGA",
  "state": "relaxed",
  "m_tot_mub_per_atom": 0.00,
  "e_form_raw_mev_per_atom": 244,
  "relative_energy_mev_per_atom": 792,
  "lattice": [[1.945, 0.000, 7.985], [-0.973, 1.684, 7.985], [-0.973, -1.684, 7.985]],
  "species": ["S", "S", "Nb", "As"],
  "fractional_positions": [[0.901, 0.901, 0.901], [0.099, 0.099, 0.099], [0.000, 0.000, 0.000], [0.500, 0.500, 0.500]]
}



# 2
{
  "formula": "Nb6As3S",
  "functional": "PBE-GGA",
  "state": "relaxed",
  "m_tot_mub_per_atom": 0.00,
  "e_form_raw_mev_per_atom": -451,
  "lattice": [[-0.848, -5.985, 0.056], [7.492, -1.081, -2.080], [0.995, -0.067, 7.787]],
  "species": ["Nb", "Nb", "Nb", "Nb", "Nb", "Nb", "Nb", "Nb", "Nb", "Nb", "Nb", "Nb", "As", "As", "As", "As", "As", "As", "S", "S"],
  "fractional_positions": [[0.174, 0.727, 0.607], [0.674, 0.607, 0.727], [0.203, 0.425, 0.906], [0.703, 0.906, 0.425], [0.246, 0.022, 0.978], [0.627, 0.245, 0.755], [0.127, 0.755, 0.245], [0.746, 0.978, 0.022], [0.203, 0.094, 0.575], [0.703, 0.575, 0.094], [0.174, 0.393, 0.273], [0.674, 0.273, 0.393], [0.518, 0.914, 0.722], [0.018, 0.722, 0.914], [0.339, 0.419, 0.581], [0.839, 0.581, 0.419], [0.018, 0.086, 0.278], [0.518, 0.278, 0.086], [0.984, 0.168, 0.832], [0.484, 0.832, 0.168]]
}



# 3
{
  "formula": "Nb3AsS",
  "functional": "PBE-GGA",
  "state": "relaxed",
  "m_tot_mub_per_atom": 0.00,
  "e_form_raw_mev_per_atom": 182,
  "relative_energy_mev_per_atom": 601,
  "lattice": [[4.573, 0.000, 0.000], [0.000, 4.573, 0.000], [0.000, 0.000, 4.573]],
  "species": ["S", "Nb", "Nb", "Nb", "As"],
  "fractional_positions": [[0.000, 0.000, 0.000], [0.000, 0.500, 0.000], [0.000, 0.000, 0.500], [0.500, 0.000, 0.000], [0.500, 0.500, 0.500]]
}



Number 1: ρ 4908 kg/m3. Number 2: ρ 7332 kg/m3. Number 3: ρ 6696 kg/m3.